# 1
VASP calculation (GGA-PBE) on a geometry-optimized Hg2GeF5 structure.

Cell: 5.106 5.523 5.582 Å, 82.75 62.79 73.96°
Fractional coordinates of all 8 atoms:
F  0.763  0.332  0.056
F  0.272  0.129  0.056
F  0.205  0.695  0.056
F  0.689  0.955  0.364
F  0.997  0.955  0.747
Ge  0.984  0.014  0.056
Hg  0.217  0.460  0.488
Hg  0.649  0.460  0.624

* symmetry: Cm



# 2
VASP calculation (GGA-PBE) on a geometry-optimized Hg3GeO2F6 structure.

Cell: 6.859 6.859 4.442 Å, 90.00 90.00 120.00°
Fractional coordinates of all 12 atoms:
F  0.128  0.255  0.275
F  0.128  0.872  0.275
F  0.745  0.872  0.275
F  0.255  0.128  0.725
F  0.872  0.128  0.725
F  0.872  0.745  0.725
Ge  0.000  0.000  0.500
Hg  0.500  0.000  0.000
Hg  0.000  0.500  0.000
Hg  0.500  0.500  0.000
O  0.667  0.333  0.154
O  0.333  0.667  0.846

* symmetry: P-3m1



# 3
VASP calculation (GGA-PBE) on a geometry-optimized Hg2GeTe2F2 structure.

Cell: 4.070 4.070 9.276 Å, 90.00 90.00 90.00°
Fractional coordinates of all 7 atoms:
F  0.000  0.000  0.000
F  0.500  0.500  0.000
Ge  0.000  0.000  0.500
Hg  0.000  0.500  0.156
Hg  0.500  0.000  0.844
Te  0.500  0.000  0.305
Te  0.000  0.500  0.695

* symmetry: P-4m2



# 4
VASP calculation (GGA-PBE) on a geometry-optimized HgGe2Te2F2 structure.

Cell: 3.928 3.928 9.808 Å, 90.00 90.00 90.00°
Fractional coordinates of all 7 atoms:
F  0.000  0.000  0.000
F  0.500  0.500  0.000
Ge  0.500  0.000  0.141
Ge  0.000  0.500  0.859
Hg  0.500  0.500  0.500
Te  0.000  0.500  0.288
Te  0.500  0.000  0.712

* symmetry: P-4m2



Number 1: energy -28.833 eV for the cell shown, theoretical density 7.02 Mg/m³. Number 2: energy -45.012 eV for the cell shown, theoretical density 7.53 Mg/m³. Number 3: energy -19.272 eV for the cell shown, theoretical density 8.29 Mg/m³. Number 4: energy -24.681 eV for the cell shown, theoretical density 7.01 Mg/m³.